# MgCdN2

A relaxed structure of MgCdN2 (PBE, the Alexandria database).

Space-group type = I-42d
N(E_F) = 0.599 states/eV per atom

Lattice parameters (Å, degrees): 4.8319 4.8319 6.2939 67.43 67.43 90.00
With the nearest neighbours (Å) after each atom.
Fractional coordinates of all 8 atoms:
1 N 0.8750 0.8490 0.7500  2 Mg 2.09, 2 Cd 2.23
2 N 0.3750 0.4010 0.7500  2 Mg 2.09, 2 Cd 2.23
3 N 0.1510 0.6250 0.2500  2 Mg 2.09, 2 Cd 2.23
4 N 0.5990 0.1250 0.2500  2 Mg 2.09, 2 Cd 2.23
5 Mg 0.2500 0.7500 0.5000  4 N 2.09
6 Mg 0.5000 0.5000 0.0000  4 N 2.09
7 Cd 0.7500 0.2500 0.5000  4 N 2.23
8 Cd 0.0000 0.0000 0.0000  4 N 2.23


# Mg2CdN2

A relaxed structure of Mg2CdN2 (PBE, the Alexandria database).

Space-group type = P-43m
N(E_F) = 0.722 states/eV per atom

Lattice parameters (Å, degrees): 7.9042 7.9042 7.9042 90.00 90.00 90.00
With the nearest neighbours (Å) after each atom.
Fractional coordinates of all 10 atoms:
1 Mg 0.6970 0.6970 0.6970  1 N 1.99
2 Mg 0.3030 0.6970 0.3030  1 N 1.99
3 Mg 0.6970 0.3030 0.3030  1 N 1.99
4 Mg 0.3030 0.3030 0.6970  1 N 1.99
5 Cd 0.5000 0.5000 0.5000  4 Mg 2.70
6 Cd 0.0000 0.0000 0.0000  4 N 2.16
7 N 0.8420 0.8420 0.8420  1 Mg 1.99, 1 Cd 2.16
8 N 0.1580 0.1580 0.8420  1 Mg 1.99, 1 Cd 2.16
9 N 0.1580 0.8420 0.1580  1 Mg 1.99, 1 Cd 2.16
10 N 0.8420 0.1580 0.1580  1 Mg 1.99, 1 Cd 2.16


# MgCdN3

A relaxed structure of MgCdN3 (PBE, the Alexandria database).

Space-group type = Pm-3m
N(E_F) = 0.231 states/eV per atom

Lattice parameters (Å, degrees): 4.1880 4.1880 4.1880 90.00 90.00 90.00
With the nearest neighbours (Å) after each atom.
Fractional coordinates of all 5 atoms:
1 N 0.5000 0.0000 0.0000  2 Cd 2.09
2 N 0.0000 0.5000 0.0000  2 Cd 2.09
3 N 0.0000 0.0000 0.5000  2 Cd 2.09
4 Cd 0.0000 0.0000 0.0000  6 N 2.09
5 Mg 0.5000 0.5000 0.5000  12 N 2.96


# MgCdN2

A relaxed structure of MgCdN2 (PBE, the Alexandria database).

Space-group type = R-3m
N(E_F) = 0.386 states/eV per atom

Lattice parameters (Å, degrees): 6.8116 6.8116 6.8116 27.39 27.39 27.39
With the nearest neighbours (Å) after each atom.
Fractional coordinates of all 4 atoms:
1 Cd 0.0000 0.0000 0.0000  2 N 2.05
2 N 0.8956 0.8956 0.8956  1 Cd 2.05, 3 Mg 2.23
3 N 0.1044 0.1044 0.1044  1 Cd 2.05, 3 Mg 2.23
4 Mg 0.5000 0.5000 0.5000  6 N 2.23


# MgCd2N

A relaxed structure of MgCd2N (PBE, the Alexandria database).

Space-group type = Fm-3m
Energy above the lowest structure with this stoichiometry = 391 meV per atom
N(E_F) = 0.511 states/eV per atom

Lattice parameters (Å, degrees): 4.6701 4.6701 4.6701 60.00 60.00 60.00
With the nearest neighbours (Å) after each atom.
Fractional coordinates of all 4 atoms:
1 Cd 0.2500 0.2500 0.2500  4 Mg 2.86, 4 N 2.86
2 Cd 0.7500 0.7500 0.7500  4 N 2.86, 4 Mg 2.86
3 N 0.0000 0.0000 0.0000  8 Cd 2.86
4 Mg 0.5000 0.5000 0.5000  8 Cd 2.86


# Mg2CdN

A relaxed structure of Mg2CdN (PBE, the Alexandria database).

Space-group type = Fm-3m
Energy above the lowest structure with this stoichiometry = 999 meV per atom
N(E_F) = 0.350 states/eV per atom

Lattice parameters (Å, degrees): 4.5619 4.5619 4.5619 60.00 60.00 60.00
With the nearest neighbours (Å) after each atom.
Fractional coordinates of all 4 atoms:
1 Mg 0.7500 0.7500 0.7500  4 Cd 2.79, 4 N 2.79
2 Mg 0.2500 0.2500 0.2500  4 Cd 2.79, 4 N 2.79
3 N 0.0000 0.0000 0.0000  8 Mg 2.79
4 Cd 0.5000 0.5000 0.5000  8 Mg 2.79


# MgCd2N

A relaxed structure of MgCd2N (PBE, the Alexandria database).

Space-group type = I-42d
Energy above the lowest structure with this stoichiometry = 0 meV per atom
N(E_F) = 0.493 states/eV per atom

Lattice parameters (Å, degrees): 6.4911 6.4911 6.3813 59.43 59.43 90.00
With the nearest neighbours (Å) after each atom.
Fractional coordinates of all 8 atoms:
1 Cd 0.3750 0.4817 0.7500  2 N 2.17
2 Cd 0.2317 0.6250 0.2500  2 N 2.17
3 Cd 0.8750 0.7683 0.7500  2 N 2.17
4 Cd 0.5183 0.1250 0.2500  2 N 2.17
5 Mg 0.7500 0.2500 0.5000  4 Cd 3.04
6 Mg 0.0000 0.0000 0.0000  4 Cd 3.04
7 N 0.2500 0.7500 0.5000  4 Cd 2.17
8 N 0.5000 0.5000 0.0000  4 Cd 2.17


# MgNbCd2N

A relaxed structure of MgNbCd2N (PBE, the Alexandria database).

Space-group type = P4/mmm
N(E_F) = 1.000 states/eV per atom

Lattice parameters (Å, degrees): 4.7830 4.1303 4.7830 90.00 90.00 90.00
With the nearest neighbours (Å) after each atom.
Fractional coordinates of all 5 atoms:
1 Cd 0.5000 0.0000 0.0000  2 N 2.39
2 Cd 0.0000 0.0000 0.5000  2 N 2.39
3 N 0.0000 0.0000 0.0000  2 Nb 2.07
4 Mg 0.5000 0.5000 0.5000  8 Cd 3.16, 4 Nb 3.38
5 Nb 0.0000 0.5000 0.0000  2 N 2.07


# Mg2CdNiN

A relaxed structure of Mg2CdNiN (PBE, the Alexandria database).

Space-group type = P4/mmm
N(E_F) = 0.408 states/eV per atom

Lattice parameters (Å, degrees): 4.3415 4.3415 3.8874 90.00 90.00 90.00
With the nearest neighbours (Å) after each atom.
Fractional coordinates of all 5 atoms:
1 Mg 0.0000 0.5000 0.0000  2 N 2.17
2 Mg 0.5000 0.0000 0.0000  2 N 2.17
3 Cd 0.5000 0.5000 0.5000  8 Mg 2.91, 4 Ni 3.07
4 N 0.0000 0.0000 0.0000  2 Ni 1.94, 4 Mg 2.17
5 Ni 0.0000 0.0000 0.5000  2 N 1.94


# MgCdN2O

A relaxed structure of MgCdN2O (PBE, the Alexandria database).

Space-group type = P4/mmm
N(E_F) = 0.261 states/eV per atom

Lattice parameters (Å, degrees): 4.1537 4.1537 3.8638 90.00 90.00 90.00
With the nearest neighbours (Å) after each atom.
Fractional coordinates of all 5 atoms:
1 Mg 0.0000 0.0000 0.0000  2 O 1.93, 4 N 2.08
2 N 0.0000 0.5000 0.0000  2 Mg 2.08
3 N 0.5000 0.0000 0.0000  2 Mg 2.08
4 O 0.0000 0.0000 0.5000  2 Mg 1.93
5 Cd 0.5000 0.5000 0.5000  8 N 2.84, 4 O 2.94


# MgCdNO2

A relaxed structure of MgCdNO2 (PBE, the Alexandria database).

Space-group type = P4/mmm
N(E_F) = 0.486 states/eV per atom

Lattice parameters (Å, degrees): 3.9303 3.9303 4.1217 90.00 90.00 90.00
With the nearest neighbours (Å) after each atom.
Fractional coordinates of all 5 atoms:
1 O 0.5000 0.0000 0.0000  2 Mg 1.97
2 O 0.0000 0.5000 0.0000  2 Mg 1.97
3 N 0.0000 0.0000 0.5000  2 Mg 2.06
4 Mg 0.0000 0.0000 0.0000  4 O 1.97, 2 N 2.06
5 Cd 0.5000 0.5000 0.5000  4 N 2.78, 8 O 2.85


# MgCdNO2

A relaxed structure of MgCdNO2 (PBE, the Alexandria database).

Space-group type = P4/mmm
N(E_F) = 0.671 states/eV per atom

Lattice parameters (Å, degrees): 3.9312 6.5981 3.9312 90.00 90.00 90.00
With the nearest neighbours (Å) after each atom.
Fractional coordinates of all 5 atoms:
1 Mg 0.0000 0.5000 0.0000  4 N 2.78
2 O 0.5000 0.0000 0.0000  2 Cd 1.97
3 O 0.0000 0.0000 0.5000  2 Cd 1.97
4 N 0.5000 0.5000 0.5000  4 Mg 2.78
5 Cd 0.0000 0.0000 0.0000  4 O 1.97


# MgCdN2O

A relaxed structure of MgCdN2O (PBE, the Alexandria database).

Space-group type = P4/mmm
N(E_F) = 0.310 states/eV per atom

Lattice parameters (Å, degrees): 4.2153 4.2153 4.2538 90.00 90.00 90.00
With the nearest neighbours (Å) after each atom.
Fractional coordinates of all 5 atoms:
1 N 0.0000 0.5000 0.0000  2 Cd 2.11
2 N 0.5000 0.0000 0.0000  2 Cd 2.11
3 O 0.0000 0.0000 0.5000  2 Cd 2.13
4 Mg 0.5000 0.5000 0.5000  4 O 2.98, 8 N 2.99
5 Cd 0.0000 0.0000 0.0000  4 N 2.11, 2 O 2.13


# MgCdNO2

A relaxed structure of MgCdNO2 (PBE, the Alexandria database).

Space-group type = P4/mmm
N(E_F) = 0.244 states/eV per atom

Lattice parameters (Å, degrees): 4.2047 4.2047 4.1119 90.00 90.00 90.00
With the nearest neighbours (Å) after each atom.
Fractional coordinates of all 5 atoms:
1 N 0.0000 0.0000 0.5000  2 Cd 2.06
2 Cd 0.0000 0.0000 0.0000  2 N 2.06, 4 O 2.10
3 O 0.5000 0.0000 0.0000  2 Cd 2.10
4 O 0.0000 0.5000 0.0000  2 Cd 2.10
5 Mg 0.5000 0.5000 0.5000  8 O 2.94, 4 N 2.97


# MgCd2PdN

A relaxed structure of MgCd2PdN (PBE, the Alexandria database).

Space-group type = P4/mmm
N(E_F) = 0.390 states/eV per atom

Lattice parameters (Å, degrees): 4.6078 4.6078 4.3312 90.00 90.00 90.00
With the nearest neighbours (Å) after each atom.
Fractional coordinates of all 5 atoms:
1 Mg 0.5000 0.5000 0.5000  8 Cd 3.16, 4 Pd 3.26
2 Cd 0.5000 0.0000 0.0000  2 N 2.30
3 Cd 0.0000 0.5000 0.0000  2 N 2.30
4 Pd 0.0000 0.0000 0.5000  2 N 2.17
5 N 0.0000 0.0000 0.0000  2 Pd 2.17, 4 Cd 2.30


# RbMgCdN2

A relaxed structure of RbMgCdN2 (PBE, the Alexandria database).

Space-group type = P4/mmm
N(E_F) = 0.434 states/eV per atom

Lattice parameters (Å, degrees): 4.5985 6.0211 4.5985 90.00 90.00 90.00
With the nearest neighbours (Å) after each atom.
Fractional coordinates of all 5 atoms:
1 Cd 0.0000 0.0000 0.0000  4 N 2.30
2 Rb 0.0000 0.5000 0.0000  2 Cd 3.01, 4 Mg 3.25
3 N 0.5000 0.0000 0.0000  2 Cd 2.30
4 N 0.0000 0.0000 0.5000  2 Cd 2.30
5 Mg 0.5000 0.5000 0.5000  4 Rb 3.25


# MgCdRh2N

A relaxed structure of MgCdRh2N (PBE, the Alexandria database).

Space-group type = P4/mmm
N(E_F) = 0.921 states/eV per atom

Lattice parameters (Å, degrees): 4.1571 4.1571 4.1594 90.00 90.00 90.00
With the nearest neighbours (Å) after each atom.
Fractional coordinates of all 5 atoms:
1 Rh 0.5000 0.0000 0.0000  2 N 2.08
2 Rh 0.0000 0.5000 0.0000  2 N 2.08
3 Cd 0.5000 0.5000 0.5000  4 Mg 2.94, 8 Rh 2.94
4 N 0.0000 0.0000 0.0000  4 Rh 2.08, 2 Mg 2.08
5 Mg 0.0000 0.0000 0.5000  2 N 2.08


# Mg2CdRuN

A relaxed structure of Mg2CdRuN (PBE, the Alexandria database).

Space-group type = P4/mmm
N(E_F) = 0.277 states/eV per atom

Lattice parameters (Å, degrees): 4.4645 4.4645 3.8783 90.00 90.00 90.00
With the nearest neighbours (Å) after each atom.
Fractional coordinates of all 5 atoms:
1 N 0.0000 0.0000 0.0000  2 Ru 1.94
2 Mg 0.0000 0.5000 0.0000  2 N 2.23
3 Mg 0.5000 0.0000 0.0000  2 N 2.23
4 Cd 0.5000 0.5000 0.5000  8 Mg 2.96, 4 Ru 3.16
5 Ru 0.0000 0.0000 0.5000  2 N 1.94


# MgCdS2N

A relaxed structure of MgCdS2N (PBE, the Alexandria database).

Space-group type = P4/mmm
Energy above the lowest structure with this stoichiometry = 217 meV per atom
N(E_F) = 0.237 states/eV per atom

Lattice parameters (Å, degrees): 5.0912 5.0912 4.1403 90.00 90.00 90.00
With the nearest neighbours (Å) after each atom.
Fractional coordinates of all 5 atoms:
1 S 0.5000 0.0000 0.0000  2 Cd 2.55
2 S 0.0000 0.5000 0.0000  2 Cd 2.55
3 Cd 0.0000 0.0000 0.0000  2 N 2.07
4 N 0.0000 0.0000 0.5000  2 Cd 2.07
5 Mg 0.5000 0.5000 0.5000  8 S 3.28, 4 N 3.60


# MgCdS2N

A relaxed structure of MgCdS2N (PBE, the Alexandria database).

Space-group type = P4/mmm
Energy above the lowest structure with this stoichiometry = 0 meV per atom
N(E_F) = 0.691 states/eV per atom

Lattice parameters (Å, degrees): 4.9340 4.9340 4.0427 90.00 90.00 90.00
With the nearest neighbours (Å) after each atom.
Fractional coordinates of all 5 atoms:
1 Mg 0.0000 0.0000 0.0000  2 N 2.02
2 S 0.0000 0.5000 0.0000  2 Mg 2.47
3 S 0.5000 0.0000 0.0000  2 Mg 2.47
4 Cd 0.5000 0.5000 0.5000  8 S 3.19, 4 N 3.49
5 N 0.0000 0.0000 0.5000  2 Mg 2.02


# MgCdSN2

A relaxed structure of MgCdSN2 (PBE, the Alexandria database).

Space-group type = P4/mmm
Energy above the lowest structure with this stoichiometry = 0 meV per atom
N(E_F) = 0.343 states/eV per atom

Lattice parameters (Å, degrees): 4.0848 4.0848 5.2643 90.00 90.00 90.00
With the nearest neighbours (Å) after each atom.
Fractional coordinates of all 5 atoms:
1 Cd 0.5000 0.5000 0.5000  4 S 2.89
2 N 0.5000 0.0000 0.0000  2 Mg 2.04
3 N 0.0000 0.5000 0.0000  2 Mg 2.04
4 S 0.0000 0.0000 0.5000  2 Mg 2.63, 4 Cd 2.89
5 Mg 0.0000 0.0000 0.0000  4 N 2.04


# MgCdSN2

A relaxed structure of MgCdSN2 (PBE, the Alexandria database).

Space-group type = P4/mmm
Energy above the lowest structure with this stoichiometry = 257 meV per atom
N(E_F) = 0.246 states/eV per atom

Lattice parameters (Å, degrees): 4.1665 4.1665 5.5959 90.00 90.00 90.00
With the nearest neighbours (Å) after each atom.
Fractional coordinates of all 5 atoms:
1 N 0.0000 0.5000 0.0000  2 Cd 2.08
2 N 0.5000 0.0000 0.0000  2 Cd 2.08
3 Mg 0.5000 0.5000 0.5000  4 S 2.95
4 Cd 0.0000 0.0000 0.0000  4 N 2.08
5 S 0.0000 0.0000 0.5000  2 Cd 2.80, 4 Mg 2.95


# Mg2CdSbN

A relaxed structure of Mg2CdSbN (PBE, the Alexandria database).

Space-group type = P4/mmm
N(E_F) = 0.212 states/eV per atom

Lattice parameters (Å, degrees): 4.3525 4.3525 4.8048 90.00 90.00 90.00
With the nearest neighbours (Å) after each atom.
Fractional coordinates of all 5 atoms:
1 Sb 0.5000 0.5000 0.5000  4 Cd 3.08, 8 Mg 3.24
2 N 0.0000 0.0000 0.0000  4 Mg 2.18, 2 Cd 2.40
3 Cd 0.0000 0.0000 0.5000  2 N 2.40
4 Mg 0.5000 0.0000 0.0000  2 N 2.18
5 Mg 0.0000 0.5000 0.0000  2 N 2.18


# MgSc2CdN

A relaxed structure of MgSc2CdN (PBE, the Alexandria database).

Space-group type = P4/mmm
N(E_F) = 0.654 states/eV per atom

Lattice parameters (Å, degrees): 4.4346 4.4346 4.4685 90.00 90.00 90.00
With the nearest neighbours (Å) after each atom.
Fractional coordinates of all 5 atoms:
1 Sc 0.0000 0.5000 0.0000  2 N 2.22
2 Sc 0.5000 0.0000 0.0000  2 N 2.22
3 N 0.0000 0.0000 0.0000  4 Sc 2.22, 2 Mg 2.23
4 Mg 0.0000 0.0000 0.5000  2 N 2.23
5 Cd 0.5000 0.5000 0.5000  4 Mg 3.14, 8 Sc 3.15


# Mg2CdSeN

A relaxed structure of Mg2CdSeN (PBE, the Alexandria database).

Space-group type = P4/mmm
N(E_F) = 0.711 states/eV per atom

Lattice parameters (Å, degrees): 4.9134 5.2132 4.9134 90.00 90.00 90.00
With the nearest neighbours (Å) after each atom.
Fractional coordinates of all 5 atoms:
1 N 0.5000 0.5000 0.5000  4 Cd 3.47, 8 Mg 3.58
2 Cd 0.0000 0.5000 0.0000  2 Se 2.61
3 Mg 0.5000 0.0000 0.0000  2 Se 2.46
4 Mg 0.0000 0.0000 0.5000  2 Se 2.46
5 Se 0.0000 0.0000 0.0000  4 Mg 2.46, 2 Cd 2.61


# MgCdTe2N

A relaxed structure of MgCdTe2N (PBE, the Alexandria database).

Space-group type = P4/mmm
Energy above the lowest structure with this stoichiometry = 0 meV per atom
N(E_F) = 0.738 states/eV per atom

Lattice parameters (Å, degrees): 5.7662 5.7662 3.9122 90.00 90.00 90.00
With the nearest neighbours (Å) after each atom.
Fractional coordinates of all 5 atoms:
1 Te 0.0000 0.5000 0.0000  2 Mg 2.88
2 Te 0.5000 0.0000 0.0000  2 Mg 2.88
3 Mg 0.0000 0.0000 0.0000  2 N 1.96
4 Cd 0.5000 0.5000 0.5000  8 Te 3.48
5 N 0.0000 0.0000 0.5000  2 Mg 1.96


# MgCdTe2N

A relaxed structure of MgCdTe2N (PBE, the Alexandria database).

Space-group type = P4/mmm
Energy above the lowest structure with this stoichiometry = 237 meV per atom
N(E_F) = 0.724 states/eV per atom

Lattice parameters (Å, degrees): 5.8054 5.8054 4.1191 90.00 90.00 90.00
With the nearest neighbours (Å) after each atom.
Fractional coordinates of all 5 atoms:
1 Mg 0.5000 0.5000 0.5000  8 Te 3.56
2 Te 0.0000 0.5000 0.0000  2 Cd 2.90
3 Te 0.5000 0.0000 0.0000  2 Cd 2.90
4 N 0.0000 0.0000 0.5000  2 Cd 2.06
5 Cd 0.0000 0.0000 0.0000  2 N 2.06


# ThMgCdN

A relaxed structure of ThMgCdN (PBE, the Alexandria database).

Space-group type = P4/nmm
N(E_F) = 0.493 states/eV per atom

Lattice parameters (Å, degrees): 4.3241 4.3241 9.4529 90.00 90.00 90.00
With the nearest neighbours (Å) after each atom.
Fractional coordinates of all 8 atoms:
1 Th 0.5000 0.0000 0.1095  4 N 2.40
2 Th 0.0000 0.5000 0.8905  4 N 2.40
3 N 0.5000 0.5000 0.0000  4 Th 2.40
4 N 0.0000 0.0000 0.0000  4 Th 2.40
5 Mg 0.5000 0.5000 0.5000  4 Cd 2.90, 4 Mg 3.06
6 Mg 0.0000 0.0000 0.5000  4 Cd 2.90, 4 Mg 3.06
7 Cd 0.5000 0.0000 0.7037  4 Mg 2.90
8 Cd 0.0000 0.5000 0.2963  4 Mg 2.90


Formation energy (no corrections)
In order: 0.63 1.61 1.94 0.74 0.93 0.56 0.54 0.25 -0.20 0.77 -0.04 0.90 1.17 0.39 0.35 1.68 -0.14 -0.20 0.74 0.52 1.03 1.29 -0.28 -0.78 1.03 0.54 0.78 -0.76
Unit: eV/atom